A relaxed structure of CaScAg, computed with PBE.

Formation energy: -0.107 eV/atom
Calculated volume: 26.013 Å³ per atom
Spin magnetization: 0.0 μB/f.u.

Unit cell a=3.521 b=3.521 c=12.588 alpha=90.00 beta=90.00 gamma=90.00
Fractional coordinates of all 6 atoms:
1 Ca 0.000 0.000 0.000
2 Ca 0.500 0.500 0.500
3 Sc 0.000 0.000 0.717
4 Sc 0.500 0.500 0.217
5 Ag 0.000 0.000 0.334
6 Ag 0.500 0.500 0.834



A relaxed structure of LaReAs2, computed with PBE.

Formation energy: -0.338 eV/atom
Calculated volume: 25.055 Å³ per atom
Spin magnetization: 0.0 μB/f.u.

Unit cell a=4.603 b=3.997 c=10.895 alpha=90.00 beta=90.00 gamma=90.00
Fractional coordinates of all 8 atoms:
1 La 0.000 0.000 0.000
2 La 0.000 0.500 0.500
3 Re 0.500 0.000 0.778
4 Re 0.500 0.500 0.278
5 As 0.000 0.000 0.716
6 As 0.000 0.500 0.216
7 As 0.500 0.000 0.407
8 As 0.500 0.500 0.907



A relaxed structure of CsSiB3, computed with PBE.

ΔE_f (raw): 1.741 eV per atom
Calculated volume: 16.293 Å³ per atom
Spin magnetization: 0.7 μB/f.u.

Unit cell a=4.335 b=4.335 c=4.335 alpha=90.00 beta=90.00 gamma=90.00
Fractional coordinates of all 5 atoms:
1 Cs 0.000 0.000 0.000
2 Si 0.500 0.500 0.500
3 B 0.000 0.500 0.500
4 B 0.500 0.000 0.500
5 B 0.500 0.500 0.000



A relaxed structure of MnAg2Br, computed with PBE.

ΔE_f (raw): 0.236 eV per atom
Calculated volume: 20.646 Å³ per atom
Spin magnetization: 4.0 μB/f.u.

Unit cell a=3.435 b=3.435 c=24.244 alpha=90.00 beta=90.00 gamma=120.00
Fractional coordinates of all 12 atoms:
1 Mn 0.000 0.000 0.000
2 Mn 0.333 0.667 0.667
3 Mn 0.667 0.333 0.333
4 Ag 0.000 0.000 0.255
5 Ag 0.000 0.000 0.745
6 Ag 0.333 0.667 0.412
7 Ag 0.333 0.667 0.922
8 Ag 0.667 0.333 0.078
9 Ag 0.667 0.333 0.588
10 Br 0.000 0.000 0.500
11 Br 0.333 0.667 0.167
12 Br 0.667 0.333 0.833



A relaxed structure of Tb2PmPb4, computed with PBE.

Formation energy: -0.382 eV/atom
Calculated volume: 31.338 Å³ per atom
Spin magnetization: 0.0 μB/f.u.

Unit cell a=4.881 b=4.881 c=18.412 alpha=90.00 beta=90.00 gamma=90.00
Fractional coordinates of all 14 atoms:
1 Tb 0.000 0.000 0.244
2 Tb 0.000 0.000 0.756
3 Tb 0.500 0.500 0.256
4 Tb 0.500 0.500 0.744
5 Pm 0.000 0.000 0.000
6 Pm 0.500 0.500 0.500
7 Pb 0.000 0.500 0.123
8 Pb 0.000 0.500 0.377
9 Pb 0.000 0.500 0.623
10 Pb 0.000 0.500 0.877
11 Pb 0.500 0.000 0.123
12 Pb 0.500 0.000 0.377
13 Pb 0.500 0.000 0.623
14 Pb 0.500 0.000 0.877



A relaxed structure of NaLiCaTl2, computed with PBE.

Formation energy: -0.075 eV/atom
Calculated volume: 27.390 Å³ per atom
Spin magnetization: 0.0 μB/f.u.

Unit cell a=5.210 b=5.210 c=5.046 alpha=90.00 beta=90.00 gamma=90.00
Fractional coordinates of all 5 atoms:
1 Na 0.000 0.000 0.000
2 Li 0.000 0.000 0.500
3 Ca 0.500 0.500 0.000
4 Tl 0.000 0.500 0.500
5 Tl 0.500 0.000 0.500



A relaxed structure of ZnCu2Br, computed with PBE.

ΔE_f (raw): 0.366 eV per atom
Calculated volume: 16.351 Å³ per atom
Spin magnetization: 0.0 μB/f.u.

Unit cell a=5.597 b=7.457 c=3.134 alpha=90.00 beta=90.00 gamma=90.00
Fractional coordinates of all 8 atoms:
1 Zn 0.000 0.000 0.000
2 Zn 0.500 0.500 0.000
3 Cu 0.250 0.250 0.500
4 Cu 0.250 0.750 0.500
5 Cu 0.750 0.250 0.500
6 Cu 0.750 0.750 0.500
7 Br 0.000 0.500 0.000
8 Br 0.500 0.000 0.000



A relaxed structure of AcPrSm2, computed with PBE.

Formation energy: 0.028 eV/atom
Calculated volume: 36.807 Å³ per atom
Spin magnetization: 0.0 μB/f.u.

Unit cell a=5.299 b=5.299 c=5.243 alpha=90.00 beta=90.00 gamma=90.00
Fractional coordinates of all 4 atoms:
1 Ac 0.000 0.000 0.000
2 Pr 0.500 0.500 0.000
3 Sm 0.000 0.500 0.500
4 Sm 0.500 0.000 0.500



A relaxed structure of VIrRu2, computed with PBE.

Formation energy: -0.252 eV/atom
Calculated volume: 13.912 Å³ per atom
Spin magnetization: 0.0 μB/f.u.

Unit cell a=3.800 b=3.800 c=3.854 alpha=90.00 beta=90.00 gamma=90.00
Fractional coordinates of all 4 atoms:
1 V 0.000 0.000 0.000
2 Ir 0.500 0.500 0.000
3 Ru 0.000 0.500 0.500
4 Ru 0.500 0.000 0.500



A relaxed structure of Hf3Pa2TiN6, computed with PBE.

ΔE_f (raw): -1.648 eV per atom
Calculated volume: 12.635 Å³ per atom
Spin magnetization: 0.0 μB/f.u.

Unit cell a=7.391 b=7.391 c=6.660 alpha=103.99 beta=103.99 gamma=25.48
Fractional coordinates of all 12 atoms:
1 Hf 0.000 0.000 0.000
2 Hf 0.339 0.339 0.667
3 Hf 0.661 0.661 0.333
4 Pa 0.336 0.336 0.171
5 Pa 0.664 0.664 0.829
6 Ti 0.000 0.000 0.500
7 N 0.160 0.160 0.102
8 N 0.166 0.166 0.568
9 N 0.497 0.497 0.749
10 N 0.503 0.503 0.251
11 N 0.834 0.834 0.432
12 N 0.840 0.840 0.898



A relaxed structure of CdSnBr2O, computed with PBE.

ΔE_f (raw): 0.525 eV per atom
Calculated volume: 33.328 Å³ per atom
Spin magnetization: 0.0 μB/f.u.

Unit cell a=5.154 b=5.154 c=6.272 alpha=90.00 beta=90.00 gamma=90.00
Fractional coordinates of all 5 atoms:
1 Cd 0.000 0.000 0.000
2 Sn 0.000 0.000 0.500
3 Br 0.000 0.500 0.000
4 Br 0.500 0.000 0.000
5 O 0.500 0.500 0.500



A relaxed structure of Tb3TlTe2, computed with PBE.

ΔE_f (raw): -1.013 eV per atom
Calculated volume: 29.952 Å³ per atom
Spin magnetization: 0.0 μB/f.u.

Unit cell a=6.215 b=13.212 c=8.755 alpha=90.00 beta=90.00 gamma=90.00
Fractional coordinates of all 24 atoms:
1 Tb 0.249 0.082 0.378
2 Tb 0.249 0.418 0.878
3 Tb 0.250 0.081 0.867
4 Tb 0.250 0.419 0.367
5 Tb 0.251 0.750 0.376
6 Tb 0.251 0.750 0.876
7 Tb 0.749 0.250 0.124
8 Tb 0.749 0.250 0.624
9 Tb 0.750 0.581 0.633
10 Tb 0.750 0.919 0.133
11 Tb 0.751 0.582 0.122
12 Tb 0.751 0.918 0.622
13 Tl 0.251 0.586 0.126
14 Tl 0.251 0.914 0.626
15 Tl 0.749 0.086 0.374
16 Tl 0.749 0.414 0.874
17 Te 0.249 0.246 0.124
18 Te 0.249 0.254 0.624
19 Te 0.250 0.583 0.623
20 Te 0.250 0.917 0.123
21 Te 0.750 0.083 0.877
22 Te 0.750 0.417 0.377
23 Te 0.751 0.746 0.376
24 Te 0.751 0.754 0.876